<A>
Zn2CdIn GGA-PBEsol relaxed; density of states at the Fermi level = 1.41 states/eV/cell; volume = 18.86 A^3/atom; magnetic moment = 0.000 Bohr magnetons per cell
1.0
-2.914 -1.030 -0.998
3.145 -3.459 -0.327
-1.554 -0.568 5.125
Zn Cd In
2 1 1
Direct
0.744 0.488 0.228
0.008 0.016 0.033
0.493 0.985 0.469
0.255 0.510 0.769

<B>
Zn2CdIn GGA-PBEsol relaxed; density of states at the Fermi level = 1.21 states/eV/cell; volume = 18.95 A^3/atom; magnetic moment = 0.000 Bohr magnetons per cell
1.0
-3.062 -0.531 0.569
-0.970 -0.661 2.933
-2.544 8.152 2.696
Cd Zn In
1 2 1
Direct
0.493 0.493 0.522
0.008 0.008 0.977
0.744 0.744 0.768
0.256 0.256 0.233

<C>
Zn2CdIn GGA-PBEsol relaxed; density of states at the Fermi level = 1.15 states/eV/cell; volume = 19.10 A^3/atom; magnetic moment = 0.000 Bohr magnetons per cell
1.0
-0.756 1.050 -3.452
2.782 -2.779 -1.454
-3.187 -3.938 1.429
Zn Cd In
2 1 1
Direct
0.178 0.000 0.980
0.323 0.500 0.273
0.901 0.000 0.429
0.598 0.500 0.818

<D>
Zn2CdIn GGA-PBEsol relaxed; density of states at the Fermi level = 1.04 states/eV/cell; volume = 18.62 A^3/atom; magnetic moment = 0.000 Bohr magnetons per cell
1.0
-0.034 -0.300 -2.889
2.972 -4.198 0.401
-4.862 -1.711 0.234
Zn In Cd
2 1 1
Direct
0.000 0.500 0.000
0.000 0.000 0.500
0.500 0.500 0.500
0.500 0.000 0.000

Which structure wins on stability? <C> wins.

<A>
MnCd2Ir GGA-PBEsol relaxed; density of states at the Fermi level = 3.55 states/eV/cell; volume = 16.41 A^3/atom; magnetic moment = 3.657 Bohr magnetons per cell
1.0
2.901 0.000 0.000
0.000 2.901 0.000
0.000 0.000 7.801
Mn Cd Ir
1 2 1
Direct
0.500 0.500 0.500
0.000 0.000 0.754
0.000 0.000 0.246
0.500 0.500 0.000

<B>
MnCd2Ir GGA-PBEsol relaxed; density of states at the Fermi level = 1.91 states/eV/cell; volume = 16.40 A^3/atom; magnetic moment = 4.062 Bohr magnetons per cell
1.0
-0.807 -2.272 1.765
4.199 -2.188 -0.896
0.501 2.828 3.869
Mn Cd Ir
1 2 1
Direct
0.500 0.500 0.500
0.000 0.000 0.500
0.000 0.500 0.000
0.500 0.000 0.000

Which structure wins on stability? <B> wins.

<A>
Cd2IrOs GGA-PBEsol relaxed; density of states at the Fermi level = 2.50 states/eV/cell; volume = 16.38 A^3/atom; magnetic moment = 0.001 Bohr magnetons per cell
1.0
2.813 0.000 0.000
1.406 2.436 0.000
1.406 0.812 9.560
Os Cd Ir
1 2 1
Direct
0.244 0.244 0.268
0.995 0.995 0.016
0.756 0.756 0.733
0.506 0.506 0.482

<B>
Cd2IrOs GGA-PBEsol relaxed; density of states at the Fermi level = 3.27 states/eV/cell; volume = 16.19 A^3/atom; magnetic moment = 0.000 Bohr magnetons per cell
1.0
-1.567 2.190 -0.602
-3.938 -2.936 0.615
2.606 1.533 4.594
Cd Ir Os
2 1 1
Direct
0.000 0.000 0.500
0.500 0.500 0.500
0.500 0.000 0.000
0.000 0.500 0.000

Which structure wins on stability? <A> wins.

<A>
Cd2ReIr GGA-PBEsol relaxed; density of states at the Fermi level = 4.68 states/eV/cell; volume = 16.31 A^3/atom; magnetic moment = 0.002 Bohr magnetons per cell
1.0
-0.477 -0.030 -4.153
-3.726 -1.525 2.543
-3.199 2.668 0.348
Cd Re Ir
2 1 1
Direct
0.250 0.500 0.250
0.000 0.000 0.000
0.750 0.500 0.750
0.500 0.000 0.500

<B>
Cd2ReIr GGA-PBEsol relaxed; density of states at the Fermi level = 3.25 states/eV/cell; volume = 16.40 A^3/atom; magnetic moment = 0.002 Bohr magnetons per cell
1.0
2.774 -0.007 0.000
-1.242 2.480 0.000
0.000 0.000 9.548
Cd Re Ir
2 1 1
Direct
0.000 0.000 0.255
0.000 0.000 0.745
0.500 0.500 0.000
0.500 0.500 0.500

Which structure wins on stability? <B> wins.

<A>
CdIr2Se GGA-PBEsol relaxed; density of states at the Fermi level = 3.40 states/eV/cell; volume = 16.20 A^3/atom; magnetic moment = 0.000 Bohr magnetons per cell
1.0
2.827 0.005 0.000
-0.004 4.902 0.000
-1.411 -2.454 4.676
Cd Ir Se
1 2 1
Direct
0.500 0.000 0.000
0.000 0.500 0.500
0.500 0.000 0.500
0.000 0.500 0.000

<B>
CdIr2Se GGA-PBEsol relaxed; density of states at the Fermi level = 4.72 states/eV/cell; volume = 16.22 A^3/atom; magnetic moment = 0.002 Bohr magnetons per cell
1.0
-0.636 -2.529 -1.128
4.383 -0.376 -1.629
1.349 -2.185 4.135
Ir Cd Se
2 1 1
Direct
0.000 0.000 0.000
0.500 0.000 0.500
0.000 0.500 0.500
0.500 0.500 0.000

<C>
CdIr2Se GGA-PBEsol relaxed; density of states at the Fermi level = 4.85 states/eV/cell; volume = 17.42 A^3/atom; magnetic moment = 0.000 Bohr magnetons per cell
1.0
5.537 0.000 0.000
2.769 5.017 0.000
2.769 0.000 5.017
Cd Se Ir
2 2 4
Direct
0.000 0.000 0.000
0.750 0.500 0.500
0.250 0.500 0.500
0.500 0.000 0.000
0.375 0.448 0.052
0.875 0.552 0.948
0.573 0.052 0.552
0.177 0.948 0.448

Which structure wins on stability? <B> wins.

<A>
CdIr2Se GGA-PBEsol relaxed; density of states at the Fermi level = 1.90 states/eV/cell; volume = 15.88 A^3/atom; magnetic moment = 0.000 Bohr magnetons per cell
1.0
-1.208 3.959 -0.414
-1.470 -2.230 3.871
1.962 0.969 3.538
Ir Se Cd
2 1 1
Direct
0.250 0.500 0.250
0.750 0.500 0.750
0.500 0.000 0.500
0.000 0.000 0.000

<B>
CdIr2Se GGA-PBEsol relaxed; density of states at the Fermi level = 3.26 states/eV/cell; volume = 15.92 A^3/atom; magnetic moment = 0.002 Bohr magnetons per cell
1.0
3.064 0.000 0.000
0.000 4.559 0.000
0.000 0.000 4.559
Cd Ir Se
1 2 1
Direct
0.500 0.000 0.000
0.000 0.000 0.500
0.000 0.500 0.000
0.500 0.500 0.500

Which structure wins on stability? <B> wins.